PrSm5Y2Ho | PBE | relaxed

a = 10.507 Å, b = 10.507 Å, c = 10.630 Å
α = 90.00°, β = 90.00°, γ = 148.48°
Atoms (fractional coordinates):
Pr 0.086 0.914 0.500
Pr 0.914 0.086 0.000
Sm 0.021 0.979 0.787
Sm 0.112 0.888 0.069
Sm 0.203 0.797 0.753
Sm 0.219 0.781 0.359
Sm 0.482 0.518 0.069
Sm 0.518 0.482 0.569
Sm 0.781 0.219 0.859
Sm 0.797 0.203 0.253
Sm 0.888 0.112 0.569
Sm 0.979 0.021 0.287
Y 0.384 0.616 0.367
Y 0.387 0.613 0.779
Y 0.613 0.387 0.279
Y 0.616 0.384 0.867
Ho 0.299 0.701 0.057
Ho 0.701 0.299 0.557

Summary:
- Uncorrected energy: -4.949 eV/atom


Pr6Sm2Y3Ho | PBE | relaxed

a = 6.343 Å, b = 6.343 Å, c = 11.982 Å
α = 95.05°, β = 95.05°, γ = 120.01°
Atoms (fractional coordinates):
Pr 0.084 0.416 0.750
Pr 0.249 0.249 0.249
Pr 0.416 0.084 0.750
Pr 0.584 0.916 0.250
Pr 0.751 0.751 0.751
Pr 0.916 0.584 0.250
Sm 0.333 0.667 0.500
Sm 0.667 0.333 0.500
Y 0.166 0.834 0.000
Y 0.500 0.500 0.000
Y 0.834 0.166 0.000
Ho 0.000 0.000 0.500

Summary:
- Uncorrected energy: -5.165 eV/atom


Pr6SmYHo2 | PBE | relaxed

a = 9.017 Å, b = 9.017 Å, c = 9.781 Å
α = 94.03°, β = 94.03°, γ = 117.65°
Atoms (fractional coordinates):
Pr 0.010 0.564 0.186
Pr 0.114 0.760 0.554
Pr 0.240 0.886 0.946
Pr 0.294 0.510 0.381
Pr 0.436 0.990 0.314
Pr 0.490 0.706 0.119
Pr 0.510 0.294 0.881
Pr 0.564 0.010 0.686
Pr 0.706 0.490 0.619
Pr 0.760 0.114 0.054
Pr 0.886 0.240 0.446
Pr 0.990 0.436 0.814
Sm 0.028 0.972 0.250
Sm 0.972 0.028 0.750
Y 0.410 0.590 0.750
Y 0.590 0.410 0.250
Ho 0.200 0.297 0.046
Ho 0.297 0.200 0.546
Ho 0.703 0.800 0.454
Ho 0.800 0.703 0.954

Summary:
- Uncorrected energy: -4.790 eV/atom


PrSmYHo3 | PBE | relaxed

a = 6.338 Å, b = 6.338 Å, c = 11.835 Å
α = 90.00°, β = 90.00°, γ = 124.39°
Atoms (fractional coordinates):
Pr 0.000 0.000 0.000
Pr 0.000 0.000 0.500
Sm 0.498 0.502 0.750
Sm 0.502 0.498 0.250
Y 0.173 0.827 0.750
Y 0.827 0.173 0.250
Ho 0.171 0.829 0.250
Ho 0.329 0.671 0.002
Ho 0.329 0.671 0.498
Ho 0.671 0.329 0.502
Ho 0.671 0.329 0.998
Ho 0.829 0.171 0.750

Summary:
- Uncorrected energy: -4.834 eV/atom


PrSm2Y2Ho | PBE | relaxed

a = 6.621 Å, b = 17.889 Å, c = 3.430 Å
α = 90.00°, β = 90.00°, γ = 90.00°
Atoms (fractional coordinates):
Pr 0.000 0.000 0.000
Pr 0.500 0.500 0.500
Sm 0.221 0.351 0.500
Sm 0.279 0.851 0.000
Sm 0.721 0.149 0.000
Sm 0.779 0.649 0.500
Y 0.224 0.184 0.000
Y 0.276 0.684 0.500
Y 0.724 0.316 0.500
Y 0.776 0.816 0.000
Ho 0.000 0.500 0.000
Ho 0.500 0.000 0.500

Summary:
- Uncorrected energy: -5.031 eV/atom


Pr4Sm2YHo2 | PBE | relaxed

a = 8.157 Å, b = 8.157 Å, c = 8.115 Å
α = 107.61°, β = 107.61°, γ = 36.85°
Atoms (fractional coordinates):
Pr 0.054 0.054 0.331
Pr 0.277 0.277 0.670
Pr 0.723 0.723 0.330
Pr 0.946 0.946 0.669
Sm 0.388 0.388 0.330
Sm 0.612 0.612 0.670
Y 0.500 0.500 0.000
Ho 0.167 0.167 0.000
Ho 0.833 0.833 0.000

Summary:
- Uncorrected energy: -4.887 eV/atom